VASP calculation (PBE with a Hubbard U) on a relaxed structure of YCrF.

Geometry as POSCAR:
```
YCrF
1.0
-1.183 -8.502 -0.973
3.161 -0.046 -3.440
3.380 -0.827 3.117
Y Cr F
4 4 4
direct
0.791 0.750 0.092
0.791 0.250 0.592
0.209 0.750 0.592
0.209 0.250 0.092
0.468 0.250 0.676
0.468 0.750 0.176
0.532 0.750 0.676
0.532 0.250 0.176
0.083 0.250 0.589
0.083 0.750 0.089
0.917 0.250 0.089
0.917 0.750 0.589
```

Results
E_tot = -6.03 eV per atom
Space group = Aem2 (39)
Total moment = 0.000 μB/atom
E above lowest polymorph = 204 kJ/mol of formula units